Here is crystalline LiPtAu2 at its relaxed geometry from the Alexandria database. Energies are from PBE.

Structure (POSCAR):
```
LiPtAu2
1.0
4.094 0.000 0.000
0.000 4.094 0.000
0.000 0.000 7.767
Li Pt Au
2 2 4
Cartesian
0.000 0.000 0.000
2.047 2.047 3.883
0.000 0.000 3.883
2.047 2.047 0.000
0.000 2.047 1.942
0.000 2.047 5.825
2.047 0.000 1.942
2.047 0.000 5.825
```

Output
For the formation enthalpy at 0 K, the calculation gives -1.15 eV/f.u. The value obtained for the final energy is -3.92 eV per atom.